The following is a PBE calculation of an optimized crystal structure of Li2TmScHg4, from Alexandria via LeMat-Bulk.

Cell lengths 8.5319, 8.5319, 8.5319 Å; angles 33.39, 33.39, 33.39 degrees
With the nearest neighbours (Å) after each atom.
Element x y z (fractional)
Li  0.2487  0.2487  0.2487  8 Hg 2.93-3.12
Li  0.7513  0.7513  0.7513  8 Hg 2.93-3.12
Tm  0.0000  0.0000  0.0000  8 Hg 3.03-3.07
Sc  0.5000  0.5000  0.5000  8 Hg 2.94-2.99
Hg  0.1272  0.1272  0.1272  4 Li 2.93-3.01, 3 Sc 2.99, 1 Tm 3.07
Hg  0.3780  0.3780  0.3780  1 Sc 2.94, 4 Li 2.99-3.12, 3 Tm 3.03
Hg  0.6220  0.6220  0.6220  1 Sc 2.94, 4 Li 2.99-3.12, 3 Tm 3.03
Hg  0.8728  0.8728  0.8728  4 Li 2.93-3.01, 3 Sc 2.99, 1 Tm 3.07

## Properties
Magnetization ... 0.00 μB per formula unit
Energy of formation ... -0.405 eV/atom
Volume ... 20.942 Å³/atom


The following is a PBE calculation of an optimized crystal structure of LiTm2ScHg4, from Alexandria via LeMat-Bulk.

Cell lengths 8.7639, 8.7639, 8.7639 Å; angles 33.41, 33.41, 33.41 degrees
With the nearest neighbours (Å) after each atom.
Element x y z (fractional)
Li  0.0000  0.0000  0.0000  8 Hg 3.09-3.11
Tm  0.2526  0.2526  0.2526  8 Hg 3.04-3.16
Tm  0.7474  0.7474  0.7474  8 Hg 3.04-3.16
Sc  0.5000  0.5000  0.5000  8 Hg 3.08-3.10
Hg  0.1254  0.1254  0.1254  3 Sc 3.08, 1 Li 3.11, 4 Tm 3.11-3.16
Hg  0.3751  0.3751  0.3751  4 Tm 3.04-3.07, 3 Li 3.09, 1 Sc 3.10
Hg  0.6249  0.6249  0.6249  4 Tm 3.04-3.07, 3 Li 3.09, 1 Sc 3.10
Hg  0.8746  0.8746  0.8746  3 Sc 3.08, 1 Li 3.11, 4 Tm 3.11-3.16

## Properties
Magnetization ... 0.00 μB per formula unit
Energy of formation ... -0.444 eV/atom
Volume ... 22.713 Å³/atom


The following is a PBE calculation of an optimized crystal structure of LiY2ScHg4, from Alexandria via LeMat-Bulk.

Cell lengths 8.8490, 8.8490, 8.8490 Å; angles 33.39, 33.39, 33.39 degrees
With the nearest neighbours (Å) after each atom.
Element x y z (fractional)
Li  0.0000  0.0000  0.0000  8 Hg 3.12-3.16
Y  0.2530  0.2530  0.2530  8 Hg 3.07-3.17
Y  0.7470  0.7470  0.7470  8 Hg 3.07-3.17
Sc  0.5000  0.5000  0.5000  8 Hg 3.10-3.11
Hg  0.1263  0.1263  0.1263  3 Sc 3.10, 4 Y 3.15-3.17, 1 Li 3.16
Hg  0.3756  0.3756  0.3756  4 Y 3.07-3.09, 1 Sc 3.11, 3 Li 3.12
Hg  0.6244  0.6244  0.6244  4 Y 3.07-3.09, 1 Sc 3.11, 3 Li 3.12
Hg  0.8737  0.8737  0.8737  3 Sc 3.10, 4 Y 3.15-3.17, 1 Li 3.16

## Properties
Magnetization ... 0.00 μB per formula unit
Energy of formation ... -0.461 eV/atom
Volume ... 23.365 Å³/atom


The following is a PBE calculation of an optimized crystal structure of Li2YScHg4, from Alexandria via LeMat-Bulk.

Cell lengths 8.6194, 8.6194, 8.6194 Å; angles 33.13, 33.13, 33.13 degrees
With the nearest neighbours (Å) after each atom.
Element x y z (fractional)
Li  0.2480  0.2480  0.2480  8 Hg 2.93-3.23
Li  0.7520  0.7520  0.7520  8 Hg 2.93-3.23
Y  0.0000  0.0000  0.0000  8 Hg 3.06-3.12
Sc  0.5000  0.5000  0.5000  8 Hg 2.93-2.99
Hg  0.1278  0.1278  0.1278  4 Li 2.93-3.02, 3 Sc 2.99, 1 Y 3.12
Hg  0.3801  0.3801  0.3801  1 Sc 2.93, 4 Li 2.99-3.23, 3 Y 3.06
Hg  0.6199  0.6199  0.6199  1 Sc 2.93, 4 Li 2.99-3.23, 3 Y 3.06
Hg  0.8722  0.8722  0.8722  4 Li 2.93-3.02, 3 Sc 2.99, 1 Y 3.12

## Properties
Magnetization ... 0.00 μB per formula unit
Energy of formation ... -0.417 eV/atom
Volume ... 21.286 Å³/atom